1.
A PBEsol-optimized structure of LiCuPO4. Source: Alexandria via LeMat-Bulk, functional SCAN.

The structure in POSCAR format:
```
LiCuPO4
1.0
-3.059 2.258 -3.978
-4.427 -2.612 -1.884
-4.567 3.586 1.742
Li Cu P O
2 2 2 8
direct
0.185 0.631 0.500
0.935 0.131 0.000
0.282 0.436 0.000
0.532 0.936 0.500
0.883 0.234 0.500
0.633 0.734 0.000
0.468 0.938 0.833
0.594 0.938 0.167
0.011 0.438 0.333
0.551 0.438 0.667
0.978 0.536 0.852
0.883 0.036 0.352
0.080 0.036 0.648
0.485 0.536 0.148
```

Properties
Symmetry   Fdd2, No. 43
E_form (uncorrected)   -2065 meV/atom
Crystal system   orthorhombic
Uncorrected energy   -9.62 eV per atom
Calculated volume   10.1 A^3/atom

2.
A PBEsol-optimized structure of ZrZn2Co. Source: Alexandria via LeMat-Bulk, functional SCAN.

The structure in POSCAR format:
```
ZrZn2Co
1.0
-2.109 2.029 0.420
-0.086 -0.685 2.875
4.676 4.603 1.237
Co Zn Zr
1 2 1
direct
0.500 0.500 0.774
0.000 0.000 0.979
0.500 0.500 0.214
0.000 0.000 0.534
```

Properties
Symmetry   P4mm, No. 99
ΔH_f (0 K)   -0.161 eV/atom
Crystal system   tetragonal
Uncorrected energy   -18.92 eV per atom
Calculated volume   14.6 A^3/atom

3.
A PBEsol-optimized structure of Li2MgCd2. Source: Alexandria via LeMat-Bulk, functional SCAN.

The structure in POSCAR format:
```
Li2MgCd2
1.0
-1.107 -1.710 -2.487
6.279 1.807 -4.037
3.546 -6.248 2.717
Mg Li Cd
2 4 4
direct
0.000 0.000 0.000
0.000 0.500 0.500
0.500 0.161 0.661
0.500 0.661 0.839
0.500 0.839 0.339
0.500 0.339 0.161
0.000 0.364 0.864
0.000 0.864 0.636
0.000 0.636 0.136
0.000 0.136 0.364
```

Properties
Symmetry   P4/mbm, No. 127
ΔH_f (0 K)   -0.224 eV/atom
Crystal system   tetragonal
Uncorrected energy   -14.34 eV per atom
Calculated volume   19.0 A^3/atom

4.
A PBEsol-optimized structure of YCd5. Source: Alexandria via LeMat-Bulk, functional SCAN.

The structure in POSCAR format:
```
YCd5
1.0
4.492 0.000 0.000
0.000 4.617 0.000
-2.246 0.000 6.323
Y Cd
1 5
direct
0.500 0.500 0.000
0.667 0.000 0.333
0.333 0.000 0.667
0.000 0.000 0.000
0.175 0.500 0.351
0.825 0.500 0.649
```

Properties
Symmetry   Cmmm, No. 65
ΔH_f (0 K)   -0.243 eV/atom
Crystal system   orthorhombic
Uncorrected energy   -30.23 eV per atom
Calculated volume   21.9 A^3/atom

5.
A PBEsol-optimized structure of HgSb2W. Source: Alexandria via LeMat-Bulk, functional SCAN.

The structure in POSCAR format:
```
HgSb2W
1.0
-2.118 -0.492 -2.372
-1.611 -2.066 1.868
-4.711 6.298 2.900
Hg Sb W
1 2 1
direct
0.500 0.500 0.714
0.000 0.000 0.993
0.500 0.500 0.303
0.000 0.000 0.490
```

Properties
Symmetry   P4mm, No. 99
E_form (uncorrected)   694 meV/atom
Crystal system   tetragonal
Uncorrected energy   -52.40 eV per atom
Calculated volume   21.7 A^3/atom

6.
A PBEsol-optimized structure of CeBeAl3. Source: Alexandria via LeMat-Bulk, functional SCAN.

The structure in POSCAR format:
```
CeBeAl3
1.0
4.106 0.000 0.000
0.000 4.106 0.000
-2.053 -2.053 5.250
Be Al Ce
1 3 1
direct
0.619 0.619 0.238
0.240 0.740 0.480
0.740 0.240 0.480
0.400 0.400 0.800
0.001 0.001 0.002
```

Properties
Symmetry   I4mm, No. 107
ΔH_f (0 K)   -0.349 eV/atom
Crystal system   tetragonal
Uncorrected energy   -14.78 eV per atom
Calculated volume   17.7 A^3/atom

7.
A PBEsol-optimized structure of ZnNi2. Source: Alexandria via LeMat-Bulk, functional SCAN.

The structure in POSCAR format:
```
ZnNi2
1.0
-2.534 -1.110 -3.016
-1.551 -3.185 2.475
-1.852 3.921 0.113
Ni Zn
4 2
direct
0.250 0.505 0.341
0.750 0.495 0.659
0.250 0.164 0.659
0.750 0.836 0.341
0.250 0.821 0.000
0.750 0.179 0.000
```

Properties
Symmetry   Cmcm, No. 63
ΔH_f (0 K)   -0.079 eV/atom
Crystal system   orthorhombic
Uncorrected energy   -15.37 eV per atom
Calculated volume   11.1 A^3/atom

8.
A PBEsol-optimized structure of As3PPd. Source: Alexandria via LeMat-Bulk, functional SCAN.

The structure in POSCAR format:
```
As3PPd
1.0
-4.483 0.272 1.086
1.002 -1.025 4.392
0.499 4.497 0.935
P As Pd
1 3 1
direct
0.000 0.000 0.000
0.000 0.500 0.000
0.000 0.000 0.500
0.500 0.000 0.000
0.500 0.500 0.500
```

Properties
Symmetry   Pm-3m, No. 221
ΔH_f (0 K)   0.847 eV/atom
Crystal system   cubic
Uncorrected energy   -19.90 eV per atom
Calculated volume   19.7 A^3/atom

9.
A PBEsol-optimized structure of HgPPb2. Source: Alexandria via LeMat-Bulk, functional SCAN.

The structure in POSCAR format:
```
HgPPb2
1.0
3.990 0.000 0.000
0.000 5.351 0.000
-1.995 -2.676 4.727
Hg P Pb
1 1 2
direct
0.000 0.500 0.000
0.500 0.000 0.000
0.789 0.789 0.577
0.211 0.211 0.423
```

Properties
Symmetry   Immm, No. 71
ΔH_f (0 K)   0.244 eV/atom
Crystal system   orthorhombic
Uncorrected energy   -57.29 eV per atom
Calculated volume   25.2 A^3/atom

10.
A PBEsol-optimized structure of NaPt3. Source: Alexandria via LeMat-Bulk, functional SCAN.

The structure in POSCAR format:
```
NaPt3
1.0
4.443 0.000 0.000
2.222 3.848 0.000
2.222 1.283 3.628
Na Pt
1 3
direct
0.000 0.000 0.000
0.250 0.250 0.250
0.500 0.500 0.500
0.750 0.750 0.750
```

Properties
Symmetry   Fm-3m, No. 225
ΔH_f (0 K)   0.149 eV/atom
Crystal system   cubic
Uncorrected energy   -53.55 eV per atom
Calculated volume   15.5 A^3/atom

11.
A PBEsol-optimized structure of GdSn2. Source: Alexandria via LeMat-Bulk, functional SCAN.

The structure in POSCAR format:
```
GdSn2
1.0
-2.275 -0.075 -3.654
3.497 -1.619 -2.144
-0.687 -8.283 0.597
Gd Sn
2 4
direct
0.750 0.402 0.196
0.250 0.598 0.804
0.750 0.752 0.496
0.250 0.248 0.504
0.750 0.064 0.872
0.250 0.936 0.128
```

Properties
Symmetry   Cmcm, No. 63
ΔH_f (0 K)   -0.642 eV/atom
Crystal system   orthorhombic
Uncorrected energy   -44.20 eV per atom
Calculated volume   25.4 A^3/atom

12.
A PBEsol-optimized structure of KCaC2. Source: Alexandria via LeMat-Bulk, functional SCAN.

The structure in POSCAR format:
```
KCaC2
1.0
4.516 0.000 0.000
2.258 3.911 0.000
2.258 1.304 3.687
C Ca K
2 1 1
direct
0.250 0.250 0.250
0.750 0.750 0.750
0.500 0.500 0.500
0.000 0.000 0.000
```

Properties
Symmetry   Fm-3m, No. 225
ΔH_f (0 K)   1.860 eV/atom
Crystal system   cubic
Uncorrected energy   -7.69 eV per atom
Calculated volume   16.3 A^3/atom

13.
A PBEsol-optimized structure of MnAlTc2. Source: Alexandria via LeMat-Bulk, functional SCAN.

The structure in POSCAR format:
```
MnAlTc2
1.0
2.852 0.000 0.000
0.000 4.294 0.000
0.000 0.000 4.294
Mn Tc Al
1 2 1
direct
0.500 0.000 0.000
0.000 0.000 0.500
0.000 0.500 0.000
0.500 0.500 0.500
```

Properties
Symmetry   P4/mmm, No. 123
ΔH_f (0 K)   -0.263 eV/atom
Crystal system   tetragonal
Uncorrected energy   -24.29 eV per atom
Calculated volume   13.1 A^3/atom